1.
The following is a DFT calculation (PBE) of an optimized crystal structure of RbBaPdRh2.

Computed properties:
The total energy comes out at -19.6 eV for the cell shown.

abc: 5.119 5.627 5.119
angles: 90.00 90.00 90.00
Element x y z (fractional)
Pd  0.000  0.000  0.000
Rh  0.000  0.000  0.500
Rh  0.500  0.000  0.000
Ba  0.000  0.500  0.000
Rb  0.500  0.500  0.500

2.
The following is a DFT calculation (PBE) of an optimized crystal structure of RbBaPd2S.

Computed properties:
The energy relative to the elements, uncorrected comes out at 288 meV/atom. The total energy comes out at -16.0 eV for the cell shown.

abc: 5.103 6.210 5.103
angles: 90.00 90.00 90.00
Element x y z (fractional)
S  0.000  0.500  0.000
Ba  0.500  0.500  0.500
Pd  0.000  0.000  0.500
Pd  0.500  0.000  0.000
Rb  0.000  0.000  0.000

3.
The following is a DFT calculation (PBE) of an optimized crystal structure of RbBa2PdSe.

Computed properties:
The energy relative to the elements, uncorrected comes out at -475 meV/atom. The total energy comes out at -15.9 eV for the cell shown.

abc: 6.032 6.032 6.022
angles: 90.00 90.00 90.00
Element x y z (fractional)
Rb  0.000  0.000  0.500
Se  0.500  0.500  0.500
Ba  0.500  0.000  0.000
Ba  0.000  0.500  0.000
Pd  0.000  0.000  0.000

4.
The following is a DFT calculation (PBE) of an optimized crystal structure of RbBa2SnPd.

Computed properties:
The total energy comes out at -15.6 eV for the cell shown.

abc: 6.331 6.331 5.322
angles: 90.00 90.00 90.00
Element x y z (fractional)
Sn  0.000  0.000  0.500
Ba  0.000  0.500  0.000
Ba  0.500  0.000  0.000
Pd  0.000  0.000  0.000
Rb  0.500  0.500  0.500